# 1
Here is CaMgTc2O8 after structural relaxation from Alexandria via LeMat-Bulk. Energies are from PBE.

Its size of the total moment is 2.0 μB/f.u. Its uncorrected formation energy is -22.13 eV/f.u.

The structure belongs to space group P-3m1 (No. 164); the cell edges are 5.7546, 5.7546 and 6.4578 Å and the angles 90.00°, 90.00° and 120.00°. The inequivalent atoms are Ca at (0.0000, 0.0000, 0.0000), Mg at (0.0000, 0.0000, 0.5000), Tc at (0.3333, 0.6667, 0.7850), O at (0.1592, 0.3184, 0.7100) and O at (0.3333, 0.6667, 0.0566).



# 2
Here is Pr2Dy3Tl4 after structural relaxation from Alexandria via LeMat-Bulk. Energies are from PBE.

Its size of the total moment is 0.0 μB/f.u. For the formation energy, the calculation gives -0.2962 eV/atom.

The structure belongs to space group C2/m (No. 12); the cell edges are 9.245, 5.344 and 10.797 Å and the angles 90.00°, 90.08° and 90.00°. The inequivalent atoms are Pr at (0.167, 0.000, 0.278), Dy at (0.000, 0.500, 0.500), Dy at (0.167, 0.000, 0.926), Tl at (0.000, 0.500, 0.149) and Tl at (0.166, 0.000, 0.602).



# 3
Here is Na2CdPt2 after structural relaxation from Alexandria via LeMat-Bulk. Energies are from PBE.

Its size of the total moment is 0.0 μB/f.u. For the formation energy, the calculation gives -0.1913 eV/atom.

The structure belongs to space group P4/mbm (No. 127); the cell edges are 6.859, 6.859 and 4.576 Å and the angles 90.00°, 90.00° and 90.00°. The inequivalent atoms are Na at (0.167, 0.333, 0.000), Cd at (0.000, 0.000, 0.500) and Pt at (0.132, 0.632, 0.500).



# 4
Here is MgZn2In after structural relaxation from Alexandria via LeMat-Bulk. Energies are from PBE.

Its size of the total moment is 0.0 μB/f.u. For the formation energy, the calculation gives 0.0682 eV/atom.

The structure belongs to space group F-43m (No. 216); the cell edges are 6.826, 6.826 and 6.826 Å and the angles 90.00°, 90.00° and 90.00°. The inequivalent atoms are Mg at (0.000, 0.000, 0.000), Zn at (0.000, 0.000, 0.500), Zn at (0.250, 0.250, 0.750) and In at (0.250, 0.250, 0.250).